*a*
Below is a relaxed InRePd3 crystal, with properties calculated at the PBE level.

```
InRePd3
1.0
4.851 0.000 0.000
0.000 4.851 0.000
0.000 0.000 4.851
In Re Pd
1 1 3
direct
0.000 0.000 0.000 In
0.500 0.500 0.500 Re
0.000 0.500 0.500 Pd
0.500 0.000 0.500 Pd
0.500 0.500 0.000 Pd
```

Results
space group: No. 221

*b*
Below is a relaxed InRePd3 crystal, with properties calculated at the PBE level.

```
InRePd3
1.0
4.873 0.000 0.000
0.000 4.873 0.000
0.000 0.000 4.873
In Re Pd
1 1 3
direct
0.000 0.000 0.000 In
0.500 0.500 0.500 Re
0.000 0.000 0.500 Pd
0.000 0.500 0.000 Pd
0.500 0.000 0.000 Pd
```

Results
space group: No. 221

It is *a* that is most stable; the runner-up trails by 0.491 eV/atom.

*a*
Below is a relaxed In2Pd2Rh crystal, with properties calculated at the PBE level.

```
In2Pd2Rh
1.0
7.450 0.000 0.000
0.000 7.450 0.000
0.000 0.000 3.209
In Pd Rh
4 4 2
direct
0.171 0.329 0.000 In
0.329 0.829 0.000 In
0.671 0.171 0.000 In
0.829 0.671 0.000 In
0.130 0.630 0.500 Pd
0.370 0.130 0.500 Pd
0.630 0.870 0.500 Pd
0.870 0.370 0.500 Pd
0.000 0.000 0.500 Rh
0.500 0.500 0.500 Rh
```

Results
space group: No. 127

*b*
Below is a relaxed In2Pd2Rh crystal, with properties calculated at the PBE level.

```
In2Pd2Rh
1.0
1.633 -8.601 0.000
1.633 8.601 0.000
0.000 0.000 3.152
In Pd Rh
2 2 1
direct
0.097 0.903 0.000 In
0.903 0.097 0.000 In
0.315 0.685 0.500 Pd
0.685 0.315 0.500 Pd
0.500 0.500 0.500 Rh
```

Results
space group: No. 65

It is *b* that is most stable; the runner-up trails by 0.105 eV/atom.

*a*
Below is a relaxed In2PdRu crystal, with properties calculated at the PBE level.

```
In2PdRu
1.0
0.000 3.260 3.260
3.260 0.000 3.260
3.260 3.260 0.000
In Pd Ru
2 1 1
direct
0.250 0.250 0.250 In
0.750 0.750 0.750 In
0.000 0.000 0.000 Pd
0.500 0.500 0.500 Ru
```

Results
space group: No. 225

*b*
Below is a relaxed In2PdRu crystal, with properties calculated at the PBE level.

```
In2PdRu
1.0
-2.099 2.099 9.143
2.099 -2.099 9.143
2.099 2.099 -9.143
In Pd Ru
4 2 2
direct
0.120 0.625 0.995 In
0.375 0.370 0.495 In
0.630 0.125 0.005 In
0.875 0.880 0.505 In
0.250 0.750 0.500 Pd
0.500 0.500 0.000 Pd
0.000 0.000 0.000 Ru
0.750 0.250 0.500 Ru
```

Results
space group: No. 122

*c*
Below is a relaxed In2PdRu crystal, with properties calculated at the PBE level.

```
In2PdRu
1.0
4.590 0.000 0.000
0.000 4.590 0.000
0.000 0.000 3.286
In Pd Ru
2 1 1
direct
0.000 0.500 0.000 In
0.500 0.000 0.000 In
0.000 0.000 0.500 Pd
0.500 0.500 0.500 Ru
```

Results
space group: No. 123

It is *c* that is most stable; the runner-up trails by 0.041 eV/atom.

*a*
Below is a relaxed ThInPdRu crystal, with properties calculated at the PBE level.

```
ThInPdRu
1.0
3.663 0.000 0.000
0.000 4.363 0.000
0.000 0.000 5.113
Th In Pd Ru
1 1 1 1
direct
0.000 0.000 0.000 Th
0.000 0.500 0.500 In
0.500 0.000 0.500 Pd
0.500 0.500 0.000 Ru
```

Results
space group: No. 47

*b*
Below is a relaxed ThInPdRu crystal, with properties calculated at the PBE level.

```
ThInPdRu
1.0
0.000 3.449 3.449
3.449 0.000 3.449
3.449 3.449 0.000
Th In Pd Ru
1 1 1 1
direct
0.000 0.000 0.000 Th
0.500 0.500 0.500 In
0.750 0.750 0.750 Pd
0.250 0.250 0.250 Ru
```

Results
space group: No. 216

It is *a* that is most stable; the runner-up trails by 0.016 eV/atom.

*a*
Below is a relaxed TmInPdRu crystal, with properties calculated at the PBE level.

```
TmInPdRu
1.0
3.515 0.000 0.000
0.000 4.518 0.000
0.000 0.000 4.584
Tm In Pd Ru
1 1 1 1
direct
0.000 0.000 0.000 Tm
0.000 0.500 0.500 In
0.500 0.000 0.500 Pd
0.500 0.500 0.000 Ru
```

Results
space group: No. 47

*b*
Below is a relaxed TmInPdRu crystal, with properties calculated at the PBE level.

```
TmInPdRu
1.0
0.000 3.321 3.321
3.321 0.000 3.321
3.321 3.321 0.000
Tm In Pd Ru
1 1 1 1
direct
0.000 0.000 0.000 Tm
0.500 0.500 0.500 In
0.250 0.250 0.250 Pd
0.750 0.750 0.750 Ru
```

Results
space group: No. 216

It is *a* that is most stable; the runner-up trails by 0.037 eV/atom.

*a*
Below is a relaxed InPd3S crystal, with properties calculated at the PBE level.

```
InPd3S
1.0
4.559 0.000 0.000
0.000 4.559 0.000
0.000 0.000 4.559
In Pd S
1 3 1
direct
0.000 0.000 0.000 In
0.000 0.500 0.500 Pd
0.500 0.000 0.500 Pd
0.500 0.500 0.000 Pd
0.500 0.500 0.500 S
```

Results
space group: No. 221

*b*
Below is a relaxed InPd3S crystal, with properties calculated at the PBE level.

```
InPd3S
1.0
5.465 -4.754 0.000
5.465 4.754 0.000
-2.056 0.000 6.521
In Pd S
4 12 4
direct
0.022 0.978 0.750 In
0.367 0.633 0.250 In
0.633 0.367 0.750 In
0.978 0.022 0.250 In
0.025 0.682 0.960 Pd
0.036 0.684 0.402 Pd
0.283 0.321 0.400 Pd
0.316 0.964 0.098 Pd
0.318 0.975 0.540 Pd
0.321 0.283 0.900 Pd
0.679 0.717 0.100 Pd
0.682 0.025 0.460 Pd
0.684 0.036 0.902 Pd
0.717 0.679 0.600 Pd
0.964 0.316 0.598 Pd
0.975 0.318 0.040 Pd
0.210 0.521 0.710 S
0.479 0.790 0.790 S
0.521 0.210 0.210 S
0.790 0.479 0.290 S
```

Results
space group: No. 15

*c*
Below is a relaxed InPd3S crystal, with properties calculated at the PBE level.

```
InPd3S
1.0
4.942 0.000 0.000
0.000 4.942 0.000
0.000 0.000 4.942
In Pd S
1 3 1
direct
0.000 0.000 0.000 In
0.000 0.000 0.500 Pd
0.000 0.500 0.000 Pd
0.500 0.000 0.000 Pd
0.500 0.500 0.500 S
```

Results
space group: No. 221

It is *b* that is most stable; the runner-up trails by 0.162 eV/atom.

*a*
Below is a relaxed InSb2Pd7 crystal, with properties calculated at the PBE level.

```
InSb2Pd7
1.0
-2.043 2.043 11.011
2.043 -2.043 11.011
2.043 2.043 -11.011
In Sb Pd
1 2 7
direct
0.000 0.000 0.000 In
0.331 0.331 0.000 Sb
0.669 0.669 0.000 Sb
0.091 0.591 0.500 Pd
0.250 0.750 0.500 Pd
0.409 0.909 0.500 Pd
0.500 0.500 0.000 Pd
0.591 0.091 0.500 Pd
0.750 0.250 0.500 Pd
0.909 0.409 0.500 Pd
```

Results
space group: No. 139

*b*
Below is a relaxed InSb2Pd7 crystal, with properties calculated at the PBE level.

```
InSb2Pd7
1.0
3.733 -6.650 0.000
3.733 6.650 0.000
0.000 0.000 4.315
In Sb Pd
1 2 7
direct
0.000 0.000 0.000 In
0.306 0.694 0.500 Sb
0.694 0.306 0.500 Sb
0.077 0.289 0.500 Pd
0.203 0.797 0.000 Pd
0.289 0.077 0.500 Pd
0.500 0.500 0.500 Pd
0.711 0.923 0.500 Pd
0.797 0.203 0.000 Pd
0.923 0.711 0.500 Pd
```

Results
space group: No. 65

It is *a* that is most stable; the runner-up trails by 0.296 eV/atom.

*a*
Below is a relaxed InSb2Pd3 crystal, with properties calculated at the PBE level.

```
InSb2Pd3
1.0
6.193 -3.505 0.000
6.193 3.505 0.000
0.000 0.000 5.753
In Sb Pd
2 4 6
direct
0.153 0.847 0.750 In
0.847 0.153 0.250 In
0.169 0.508 0.250 Sb
0.492 0.831 0.250 Sb
0.508 0.169 0.750 Sb
0.831 0.492 0.750 Sb
0.174 0.174 0.000 Pd
0.174 0.174 0.500 Pd
0.500 0.500 0.000 Pd
0.500 0.500 0.500 Pd
0.826 0.826 0.000 Pd
0.826 0.826 0.500 Pd
```

Results
space group: No. 63

*b*
Below is a relaxed InSb2Pd3 crystal, with properties calculated at the PBE level.

```
InSb2Pd3
1.0
6.153 0.000 0.000
0.000 3.967 0.000
-1.645 0.000 9.829
In Sb Pd
2 4 6
direct
0.044 0.250 0.294 In
0.956 0.750 0.706 In
0.215 0.250 0.958 Sb
0.433 0.250 0.627 Sb
0.567 0.750 0.373 Sb
0.785 0.750 0.042 Sb
0.187 0.750 0.491 Pd
0.232 0.750 0.160 Pd
0.409 0.750 0.824 Pd
0.591 0.250 0.176 Pd
0.768 0.250 0.840 Pd
0.813 0.250 0.509 Pd
```

Results
space group: No. 11

It is *a* that is most stable; the runner-up trails by 0.044 eV/atom.

*a*
Below is a relaxed InSb2Pd2 crystal, with properties calculated at the PBE level.

```
InSb2Pd2
1.0
7.853 0.000 0.000
0.000 7.853 0.000
0.000 0.000 3.469
In Sb Pd
2 4 4
direct
0.000 0.000 0.000 In
0.500 0.500 0.000 In
0.162 0.338 0.500 Sb
0.338 0.838 0.500 Sb
0.662 0.162 0.500 Sb
0.838 0.662 0.500 Sb
0.129 0.629 0.000 Pd
0.371 0.129 0.000 Pd
0.629 0.871 0.000 Pd
0.871 0.371 0.000 Pd
```

Results
space group: No. 127

*b*
Below is a relaxed InSb2Pd2 crystal, with properties calculated at the PBE level.

```
InSb2Pd2
1.0
-2.392 2.392 5.303
2.392 -2.392 5.303
2.392 2.392 -5.303
In Sb Pd
1 2 2
direct
0.000 0.000 0.000 In
0.250 0.750 0.500 Sb
0.750 0.250 0.500 Sb
0.371 0.371 0.000 Pd
0.629 0.629 0.000 Pd
```

Results
space group: No. 139

*c*
Below is a relaxed InSb2Pd2 crystal, with properties calculated at the PBE level.

```
InSb2Pd2
1.0
8.406 0.000 0.000
0.000 8.406 0.000
0.000 0.000 3.111
In Sb Pd
2 4 4
direct
0.000 0.000 0.000 In
0.500 0.500 0.000 In
0.153 0.347 0.000 Sb
0.347 0.847 0.000 Sb
0.653 0.153 0.000 Sb
0.847 0.653 0.000 Sb
0.131 0.631 0.500 Pd
0.369 0.131 0.500 Pd
0.631 0.869 0.500 Pd
0.869 0.369 0.500 Pd
```

Results
space group: No. 127

It is *a* that is most stable; the runner-up trails by 0.056 eV/atom.

*a*
Below is a relaxed InSbPd6 crystal, with properties calculated at the PBE level.

```
InSbPd6
1.0
3.929 -2.771 0.000
3.929 2.771 0.000
-2.569 0.000 6.880
In Sb Pd
1 1 6
direct
0.000 0.000 0.000 In
0.500 0.500 0.500 Sb
0.052 0.570 0.201 Pd
0.148 0.148 0.439 Pd
0.430 0.948 0.799 Pd
0.570 0.052 0.201 Pd
0.852 0.852 0.561 Pd
0.948 0.430 0.799 Pd
```

Results
space group: No. 12

*b*
Below is a relaxed InSbPd6 crystal, with properties calculated at the PBE level.

```
InSbPd6
1.0
5.731 0.000 0.000
-2.866 4.963 0.000
0.000 0.000 4.643
In Sb Pd
1 1 6
direct
0.000 0.000 0.000 In
0.667 0.333 0.500 Sb
0.000 0.500 0.000 Pd
0.167 0.335 0.500 Pd
0.167 0.833 0.500 Pd
0.500 0.000 0.000 Pd
0.500 0.500 0.000 Pd
0.665 0.833 0.500 Pd
```

Results
space group: No. 187

It is *b* that is most stable; the runner-up trails by 0.173 eV/atom.

*a*
Below is a relaxed Sc2InPd4 crystal, with properties calculated at the PBE level.

```
Sc2InPd4
1.0
2.278 1.315 7.310
-2.278 1.315 7.310
0.000 -2.631 7.310
Sc In Pd
2 1 4
direct
0.249 0.249 0.249 Sc
0.751 0.751 0.751 Sc
0.000 0.000 0.000 In
0.128 0.128 0.128 Pd
0.385 0.385 0.385 Pd
0.615 0.615 0.615 Pd
0.872 0.872 0.872 Pd
```

Results
space group: No. 166

*b*
Below is a relaxed Sc2InPd4 crystal, with properties calculated at the PBE level.

```
Sc2InPd4
1.0
-2.450 2.450 6.704
2.450 -2.450 6.704
2.450 2.450 -6.704
Sc In Pd
2 1 4
direct
0.121 0.121 0.000 Sc
0.879 0.879 0.000 Sc
0.500 0.500 0.000 In
0.000 0.500 0.500 Pd
0.299 0.299 0.000 Pd
0.500 0.000 0.500 Pd
0.701 0.701 0.000 Pd
```

Results
space group: No. 139

It is *a* that is most stable; the runner-up trails by 0.618 eV/atom.